[1]
A plane-wave DFT calculation with PBE-GGA was carried out for crystalline DyBeSi2Rh at its relaxed geometry.

## Properties
E_form (uncorrected) (eV per atom): -0.7881

Cell: 3.890 3.890 5.825 Å, 109.51 109.51 90.00°
Element x y z (fractional)
Rh 0.250 0.750 0.500
Si 0.384 0.384 0.767
Si 0.616 0.616 0.233
Be 0.750 0.250 0.500
Dy 0.000 0.000 0.000

=====

[2]
A plane-wave DFT calculation with PBE-GGA was carried out for crystalline Be2TlP at its relaxed geometry.

## Properties
Calculated formation energy (kJ/mol of formula units): 398
Energy above the most stable polymorph in this dataset (eV per atom): 0.8476

Cell: 4.559 4.559 4.559 Å, 60.00 60.00 60.00°
Element x y z (fractional)
Be 0.250 0.250 0.250
Be 0.000 0.000 0.000
Tl 0.750 0.750 0.750
P 0.500 0.500 0.500

=====

[3]
A plane-wave DFT calculation with PBE-GGA was carried out for crystalline Sr3LaRh8 at its relaxed geometry.

## Properties
Calculated formation energy (kJ/mol of formula units): -441

Cell: 5.471 5.471 9.507 Å, 73.28 73.28 60.00°
Element x y z (fractional)
Rh 0.687 0.687 0.938
Rh 0.938 0.441 0.684
Rh 0.938 0.938 0.684
Rh 0.187 0.187 0.438
Rh 0.437 0.935 0.191
Rh 0.935 0.437 0.191
Rh 0.441 0.938 0.684
Rh 0.437 0.437 0.191
Sr 0.499 0.499 0.504
Sr 0.001 0.001 0.996
Sr 0.375 0.375 0.876
La 0.875 0.875 0.374

=====

[4]
A plane-wave DFT calculation with PBE-GGA was carried out for crystalline CaNiIrN2 at its relaxed geometry.

## Properties
E_form (uncorrected) (eV per atom): 1.1707

Cell: 3.835 4.826 3.835 Å, 90.00 90.00 90.00°
Last column: magnetic moment on the atom in μB.
Element x y z (fractional)
N 0.500 0.000 0.000  0.05
N 0.000 0.000 0.500  -0.01
Ni 0.000 0.000 0.000  -0.12
Ca 0.500 0.500 0.500  0.01
Ir 0.000 0.500 0.000  -0.64

=====

[5]
A plane-wave DFT calculation with PBE-GGA was carried out for crystalline TiNbPb2S at its relaxed geometry.

## Properties
E_form (uncorrected) (eV per atom): 0.7439

Cell: 5.511 4.704 5.511 Å, 90.00 90.00 90.00°
Element x y z (fractional)
Ti 0.000 0.500 0.000
Pb 0.000 0.000 0.500
Pb 0.500 0.000 0.000
S 0.500 0.500 0.500
Nb 0.000 0.000 0.000

=====

[6]
A plane-wave DFT calculation with PBE-GGA was carried out for crystalline MgPa2Bi9 at its relaxed geometry.

## Properties
Calculated formation energy (kJ/mol of formula units): -72

Cell: 4.761 4.761 15.657 Å, 90.00 90.00 90.00°
Element x y z (fractional)
Pa 0.000 0.000 0.660
Pa 0.000 0.000 0.340
Bi 0.500 0.000 0.172
Bi 0.000 0.500 0.828
Bi 0.000 0.500 0.500
Bi 0.500 0.500 0.333
Bi 0.500 0.500 0.667
Bi 0.000 0.500 0.172
Bi 0.500 0.000 0.828
Bi 0.500 0.500 0.000
Bi 0.500 0.000 0.500
Mg 0.000 0.000 0.000

=====

[7]
A plane-wave DFT calculation with PBE-GGA was carried out for crystalline SrLa3Os at its relaxed geometry.

## Properties
Calculated formation energy (kJ/mol of formula units): -40
Energy above the most stable polymorph in this dataset (eV per atom): 0.0000

Cell: 5.764 5.764 5.764 Å, 90.00 90.00 90.00°
Element x y z (fractional)
La 0.000 0.500 0.000
La 0.000 0.000 0.500
La 0.500 0.000 0.000
Os 0.000 0.000 0.000
Sr 0.500 0.500 0.500

=====

[8]
A plane-wave DFT calculation with PBE-GGA was carried out for crystalline Pm4Pd3Au at its relaxed geometry.

## Properties
Calculated formation energy (kJ/mol of formula units): -639

Cell: 3.863 4.702 10.851 Å, 90.00 90.00 90.00°
Element x y z (fractional)
Pm 0.000 0.500 0.858
Pm 0.500 0.000 0.637
Pm 0.000 0.000 0.139
Pm 0.500 0.500 0.368
Pd 0.000 0.500 0.585
Pd 0.000 0.000 0.415
Pd 0.500 0.000 0.914
Au 0.500 0.500 0.084

=====

[9]
A plane-wave DFT calculation with PBE-GGA was carried out for crystalline TbPrAu at its relaxed geometry.

## Properties
Calculated formation energy (kJ/mol of formula units): -160
Energy above the most stable polymorph in this dataset (eV per atom): 0.0000

Cell: 8.308 10.000 8.994 Å, 123.77 117.51 90.00°
Element x y z (fractional)
Au 0.120 0.841 0.682
Au 0.716 0.750 0.000
Au 0.120 0.341 0.682
Au 0.716 0.250 0.000
Au 0.439 0.159 0.318
Au 0.439 0.659 0.318
Pr 0.749 0.055 0.610
Pr 0.139 0.945 0.390
Pr 0.339 0.250 0.000
Pr 0.139 0.445 0.390
Pr 0.339 0.750 0.000
Pr 0.748 0.555 0.610
Tb 0.492 0.863 0.727
Tb 0.492 0.363 0.727
Tb 0.765 0.637 0.273
Tb 0.765 0.137 0.273
Tb 0.021 0.000 0.000
Tb 0.021 0.500 0.000

=====

[10]
A plane-wave DFT calculation with PBE-GGA was carried out for crystalline HfZrAsBr2 at its relaxed geometry.

## Properties
E_form (uncorrected) (eV per atom): 0.0839
Energy above the most stable polymorph in this dataset (eV per atom): 0.0000

Cell: 5.106 5.106 5.310 Å, 90.00 90.00 90.00°
Last column: magnetic moment on the atom in μB.
Element x y z (fractional)
Br 0.000 0.500 0.000  0.00
Br 0.500 0.000 0.000  0.00
As 0.000 0.000 0.500  -0.05
Hf 0.000 0.000 0.000  0.05
Zr 0.500 0.500 0.500  1.50

=====

[11]
A plane-wave DFT calculation with PBE-GGA was carried out for crystalline Tm3Sc6In at its relaxed geometry.

## Properties
Calculated formation energy (kJ/mol of formula units): 13

Cell: 5.653 10.357 10.357 Å, 119.94 90.00 90.00°
Element x y z (fractional)
Sc 0.967 0.051 0.949
Sc 0.026 0.390 0.288
Sc 0.526 0.288 0.390
Sc 0.639 0.271 0.729
Sc 0.848 0.481 0.048
Sc 0.139 0.729 0.271
Sc 0.467 0.949 0.051
Sc 0.526 0.610 0.712
Sc 0.348 0.048 0.481
Sc 0.848 0.952 0.519
Sc 0.026 0.712 0.610
Sc 0.348 0.519 0.952
Tm 0.980 0.060 0.268
Tm 0.480 0.940 0.732
Tm 0.980 0.732 0.940
Tm 0.551 0.609 0.391
Tm 0.480 0.268 0.060
Tm 0.051 0.391 0.609
In 0.621 0.791 0.209
In 0.121 0.209 0.791

=====

[12]
A plane-wave DFT calculation with PBE-GGA was carried out for crystalline Mg3Te4 at its relaxed geometry.

## Properties
E_form (uncorrected) (eV per atom): -0.5189
Energy above the most stable polymorph in this dataset (eV per atom): 0.0000

Cell: 5.875 5.875 5.875 Å, 90.00 90.00 90.00°
Element x y z (fractional)
Mg 0.000 0.500 0.000
Mg 0.000 0.000 0.500
Mg 0.500 0.000 0.000
Te 0.500 0.000 0.500
Te 0.000 0.000 0.000
Te 0.000 0.500 0.500
Te 0.500 0.500 0.000

=====

V values, unit Å³ per atom, following the record order: 15.54, 16.76, 19.37, 14.20, 28.57, 29.58, 38.29, 24.64, 28.69, 27.69, 26.28, 28.97.
DOS at the Fermi energy values, unit states/eV/f.u., following the record order: 1.84, 2.02, 14.45, 8.37, 4.65, 7.50, 2.28, 5.71, 2.87, 4.70, 15.25, 4.55.
E_tot values, unit eV for the cell shown, following the record order: -30.47, -11.10, -73.36, -27.44, -25.79, -56.26, -28.11, -44.49, -86.07, -26.08, -108.02, -20.98.